12
Lattice="4.5078 -2.8443 0.0000 4.5078 2.8443 0.0000 -0.9351 0.0000 8.6901" Properties=species:S:1:pos:R:3 comment="CsCr2SnO8 (PBE with a Hubbard U, relaxed)" volume_a3_per_cell=222.8 dos_ef_per_ev_cell=2.2 final_energy_ev_per_atom=-6.3918 magnetic_moment_mub_per_cell=1.00 pbc="T T T"
Cs 0.0000 0.0000 0.0000
Cr 2.7543 0.0000 6.0147
Cr 5.3261 0.0000 2.6754
Sn -0.4676 0.0000 4.3450
O 1.5569 0.0000 4.8009
O 3.7223 1.4136 5.8287
O 4.3581 1.4136 2.8613
O 2.0778 0.0000 7.4954
O 6.0026 0.0000 1.1947
O 3.7223 -1.4136 5.8287
O 4.3581 -1.4136 2.8613
O 6.5235 0.0000 3.8891

16
Lattice="0.0000 6.3451 12.4112 3.0147 0.0000 12.4112 3.0147 6.3451 0.0000" Properties=species:S:1:pos:R:3 comment="Cs2SrCrO4 (PBE with a Hubbard U, relaxed)" volume_a3_per_cell=474.8 final_energy_ev_per_atom=-5.4855 magnetic_moment_mub_per_cell=4.00 pbc="T T T"
Cs 2.2610 4.7588 1.5844
Cs 3.7684 7.9313 7.7900
Cs 2.2610 4.7588 17.0324
Cs 3.7684 7.9313 23.2380
Sr 0.7537 1.5863 3.1028
Sr 5.2757 11.1038 21.7196
Cr 2.2610 4.7588 9.3084
Cr 3.7684 7.9313 15.5140
O 3.3886 3.6576 8.4013
O 3.3886 5.8599 10.2155
O 4.8959 6.8302 16.4212
O 4.8959 9.0325 14.6069
O 1.1335 3.6576 10.2155
O 1.1335 5.8599 8.4013
O 2.6408 6.8302 14.6069
O 2.6408 9.0325 16.4212

12
Lattice="4.6936 -2.8301 0.0000 4.6936 2.8301 0.0000 -0.6490 0.0000 8.6493" Properties=species:S:1:pos:R:3 comment="CsTaCr2O8 (PBE with a Hubbard U, relaxed)" volume_a3_per_cell=229.8 dos_ef_per_ev_cell=0.4 final_energy_ev_per_atom=-7.4739 magnetic_moment_mub_per_cell=2.00 pbc="T T T"
Cs 0.0000 0.0000 0.0000
Ta -0.3245 0.0000 4.3246
Cr 2.9321 0.0000 6.0688
Cr 5.8060 0.0000 2.5804
O 1.4813 0.0000 5.0584
O 3.8624 1.4309 5.6747
O 4.8757 1.4309 2.9745
O 2.4362 0.0000 7.6230
O 6.3020 0.0000 1.0263
O 3.8624 -1.4309 5.6747
O 4.8757 -1.4309 2.9745
O 7.2569 0.0000 3.5908

14
Lattice="5.6228 0.0000 0.0000 0.0000 5.8674 0.0000 -0.3482 0.0000 10.0570" Properties=species:S:1:pos:R:3 comment="CsTaCrO4 (PBE with a Hubbard U, relaxed)" volume_a3_per_cell=331.8 dos_ef_per_ev_cell=0.0 final_energy_ev_per_atom=-7.9350 magnetic_moment_mub_per_cell=8.00 pbc="T T T"
Cs 0.9266 1.4668 3.3790
Cs 4.3479 4.4005 6.6780
Ta 1.4250 1.4668 8.0279
Ta 3.8495 4.4005 2.0290
Cr 0.4923 4.4005 0.1512
Cr 4.7822 1.4668 9.9058
O 0.4713 0.0468 8.8825
O 0.4713 2.8869 8.8825
O 1.0814 1.4668 6.2390
O 2.0267 4.4005 1.7244
O 3.2478 1.4668 8.3326
O 4.1931 4.4005 3.8180
O 4.8032 2.9805 1.1744
O 4.8032 5.8206 1.1744